1.
# BaAgH3 GGA-PBEsol optimized geometry
data_BaAgH3
_cell_length_a 4.035
_cell_length_b 4.035
_cell_length_c 4.035
_cell_angle_alpha 90.00
_cell_angle_beta 90.00
_cell_angle_gamma 90.00
_symmetry_space_group_name_H-M 'P m -3 m'
_symmetry_Int_Tables_number 221
_symmetry_space_group_name_Hall '-P 4 2 3'
loop_
_atom_site_label
_atom_site_type_symbol
_atom_site_fract_x
_atom_site_fract_y
_atom_site_fract_z
_atom_site_occupancy
Ba1 Ba 0.000 0.000 0.000 1
Ag1 Ag 0.500 0.500 0.500 1
H1 H 0.000 0.500 0.500 1
# Magnetic moment in μB per atom: 0.00
# Calculated total energy in eV for the cell shown: -16.90

=====

2.
# BaLa2AgH GGA-PBEsol optimized geometry
data_BaLa2AgH
_cell_length_a 4.874
_cell_length_b 4.874
_cell_length_c 5.669
_cell_angle_alpha 90.00
_cell_angle_beta 90.00
_cell_angle_gamma 90.00
_symmetry_space_group_name_H-M 'P 4/m m m'
_symmetry_Int_Tables_number 123
_symmetry_space_group_name_Hall '-P 4 2'
loop_
_atom_site_label
_atom_site_type_symbol
_atom_site_fract_x
_atom_site_fract_y
_atom_site_fract_z
_atom_site_occupancy
Ba1 Ba 0.000 0.000 0.000 1
La1 La 0.000 0.500 0.500 1
Ag1 Ag 0.500 0.500 0.000 1
H1 H 0.000 0.000 0.500 1
# Magnetic moment in μB per atom: 0.00
# Calculated total energy in eV for the cell shown: -19.64

=====

3.
# BaAgHg2 GGA-PBEsol optimized geometry
data_BaAgHg2
_cell_length_a 4.934
_cell_length_b 5.734
_cell_length_c 7.709
_cell_angle_alpha 90.00
_cell_angle_beta 90.00
_cell_angle_gamma 90.00
_symmetry_space_group_name_H-M 'I m m 2'
_symmetry_Int_Tables_number 44
loop_
_symmetry_equiv_pos_as_xyz
'x,y,z'
'-x,-y,z'
'-x,y,z'
'x,-y,z'
'x+1/2,y+1/2,z+1/2'
'-x+1/2,-y+1/2,z+1/2'
'-x+1/2,y+1/2,z+1/2'
'x+1/2,-y+1/2,z+1/2'
loop_
_atom_site_label
_atom_site_type_symbol
_atom_site_fract_x
_atom_site_fract_y
_atom_site_fract_z
_atom_site_occupancy
Ba1 Ba 0.000 0.000 0.000 1
Ag1 Ag 0.000 0.500 0.212 1
Hg1 Hg 0.000 0.000 0.520 1
Hg2 Hg 0.000 0.500 0.786 1
# E_form in eV/atom: -0.27
# Magnetic moment in μB per atom: 0.00
# Calculated total energy in eV for the cell shown: -15.34

=====

4.
# BaAg4Hg GGA-PBEsol optimized geometry
data_BaAg4Hg
_cell_length_a 8.011
_cell_length_b 8.011
_cell_length_c 8.011
_cell_angle_alpha 90.00
_cell_angle_beta 90.00
_cell_angle_gamma 90.00
_symmetry_space_group_name_H-M 'F -4 3 m'
_symmetry_Int_Tables_number 216
_symmetry_space_group_name_Hall 'F -4 2 3'
loop_
_atom_site_label
_atom_site_type_symbol
_atom_site_fract_x
_atom_site_fract_y
_atom_site_fract_z
_atom_site_occupancy
Ba1 Ba 0.000 0.000 0.000 1
Ag1 Ag 0.124 0.124 0.376 1
Hg1 Hg 0.250 0.250 0.750 1
# E_form in eV/atom: -0.16
# Magnetic moment in μB per atom: 0.00
# Calculated total energy in eV for the cell shown: -67.57

=====

calculated total energy of number 2 (BaLa2AgH)? -19.64 eV for the cell shown

=====

Look up the calculated total energy of the fourth one. -67.57 eV for the cell shown

=====

What did the second record say?
# BaLa2AgH GGA-PBEsol optimized geometry
data_BaLa2AgH
_cell_length_a 4.874
_cell_length_b 4.874
_cell_length_c 5.669
_cell_angle_alpha 90.00
_cell_angle_beta 90.00
_cell_angle_gamma 90.00
_symmetry_space_group_name_H-M 'P 4/m m m'
_symmetry_Int_Tables_number 123
_symmetry_space_group_name_Hall '-P 4 2'
loop_
_atom_site_label
_atom_site_type_symbol
_atom_site_fract_x
_atom_site_fract_y
_atom_site_fract_z
_atom_site_occupancy
Ba1 Ba 0.000 0.000 0.000 1
La1 La 0.000 0.500 0.500 1
Ag1 Ag 0.500 0.500 0.000 1
H1 H 0.000 0.000 0.500 1
# Magnetic moment in μB per atom: 0.00
# Calculated total energy in eV for the cell shown: -19.64

=====

Copy entry 1 word for word.
# BaAgH3 GGA-PBEsol optimized geometry
data_BaAgH3
_cell_length_a 4.035
_cell_length_b 4.035
_cell_length_c 4.035
_cell_angle_alpha 90.00
_cell_angle_beta 90.00
_cell_angle_gamma 90.00
_symmetry_space_group_name_H-M 'P m -3 m'
_symmetry_Int_Tables_number 221
_symmetry_space_group_name_Hall '-P 4 2 3'
loop_
_atom_site_label
_atom_site_type_symbol
_atom_site_fract_x
_atom_site_fract_y
_atom_site_fract_z
_atom_site_occupancy
Ba1 Ba 0.000 0.000 0.000 1
Ag1 Ag 0.500 0.500 0.500 1
H1 H 0.000 0.500 0.500 1
# Magnetic moment in μB per atom: 0.00
# Calculated total energy in eV for the cell shown: -16.90